Here is crystalline NbVO2F at its relaxed geometry from Alexandria via LeMat-Bulk. Energies are from PBE+U.

```
NbVO2F
1.0
-2.568 -2.370 1.684
1.173 -2.901 -2.293
2.688 -1.019 2.665
O F Nb V
2 1 1 1
direct
0.000 0.500 0.000
0.500 0.000 0.000
0.000 0.000 0.500
0.500 0.500 0.500
0.000 0.000 0.000
```

Calculated values
Spin magnetization = 3.0 μB per formula unit
Electronic total energy = -6.82 eV/atom
Volume = 11.8 Å³/atom